DFT (PBE) results for crystalline MnSbSN2 at its relaxed geometry.

Results
Its total energy is -6.17 eV per atom. The relative energy among the computed polymorphs is 0 meV per atom. Its formation energy (no corrections) is 0.64 eV per atom. Its symmetry is P4/mmm (123).

Cell: 3.756 3.756 4.808 Å, 90.00 90.00 90.00°
Atoms (fractional coordinates):
Mn1 0.000 0.000 0.000
Sb1 0.500 0.500 0.500
S1 0.000 0.000 0.500
N1 0.000 0.500 0.000
N2 0.500 0.000 0.000